A geometry-optimized ZnInRe2 structure, computed with PBE.

The calculation puts the distance to the lowest polymorph of the same formula at 55 meV/atom. As for the crystal system: trigonal. The value obtained for the energy is -6.959 eV/atom. Its formation energy is 0.27 eV/atom.

Unit cell a=9.5212 b=9.5212 c=9.5212 alpha=17.39 beta=17.39 gamma=17.39
Sites, in units of the cell vectors:
In 0.7477 0.7477 0.7477
Re 0.9922 0.9922 0.9922
Re 0.2530 0.2530 0.2530
Zn 0.5072 0.5072 0.5072